# Li4Mn3O7 PBE+U optimized geometry
# E above lowest polymorph ... 6 meV/atom
# Total magnetization ... 11.0 μB per formula unit
# Total energy ... -6.41 eV/atom
data_Li4Mn3O7
_chemical_formula_sum 'Li8 Mn6 O14'
_cell_length_a 5.084
_cell_length_b 5.103
_cell_length_c 10.705
_cell_angle_alpha 83.62
_cell_angle_beta 79.68
_cell_angle_gamma 73.17
_space_group_name_H-M_alt 'P 1'
_space_group_IT_number 1
_space_group_name_Hall 'P 1'
loop_
_atom_site_label
_atom_site_fract_x
_atom_site_fract_y
_atom_site_fract_z
_atom_site_occupancy
Li1 0.000 0.000 0.000 1
Li2 0.046 0.510 0.864 1
Li3 0.229 0.490 0.560 1
Li4 0.400 0.473 0.271 1
Li5 0.500 0.500 0.000 1
Li6 0.600 0.527 0.729 1
Li7 0.771 0.510 0.440 1
Li8 0.954 0.490 0.136 1
Mn1 0.115 0.028 0.725 1
Mn2 0.294 0.993 0.426 1
Mn3 0.448 0.976 0.136 1
Mn4 0.552 0.024 0.864 1
Mn5 0.706 0.007 0.574 1
Mn6 0.885 0.972 0.275 1
O1 0.043 0.766 0.425 1
O2 0.158 0.190 0.270 1
O3 0.216 0.745 0.140 1
O4 0.286 0.218 0.000 1
O5 0.308 0.792 0.851 1
O6 0.366 0.253 0.728 1
O7 0.467 0.770 0.565 1
O8 0.533 0.230 0.435 1
O9 0.634 0.747 0.272 1
O10 0.692 0.208 0.149 1
O11 0.714 0.782 0.000 1
O12 0.784 0.255 0.860 1
O13 0.842 0.810 0.730 1
O14 0.957 0.234 0.575 1